No. 1
DFT (PBE) results for a relaxed structure of Sr2AsCl.

Results
**ΔE_f (raw)**: -5.662 eV per formula unit
**Final energy**: -0.1426 hartree per atom

The structure in extended XYZ format:
```
4
Lattice="-5.020 0.618 -2.058 1.417 -2.987 -4.346 -1.441 -3.381 1.273" Properties=species:S:1:pos:R:3 pbc="T T T"
As -3.230 -1.381 -0.393
Cl -0.012 -3.184 -1.536
Sr 0.000 0.000 0.000
Sr -1.801 -1.184 -3.202
```

No. 2
DFT (PBE) results for a relaxed structure of DyFe2BC.

Results
**Final energy**: -0.2865 hartree per atom
**Formation enthalpy at 0 K**: -311.0 meV/atom

The structure in extended XYZ format:
```
10
Lattice="-2.895 -1.746 0.917 2.834 1.092 4.335 -3.249 5.744 0.677" Properties=species:S:1:pos:R:3 pbc="T T T"
Dy -1.183 4.506 4.842
B -3.244 3.536 3.180
Dy -2.127 0.584 1.087
Fe -2.556 5.457 2.318
C 0.000 0.000 0.000
Fe -0.754 -0.367 3.611
Fe -1.343 3.312 2.065
C -1.624 2.872 0.338
Fe -1.967 1.778 3.864
B -0.066 1.554 2.749
```

No. 3
DFT (PBE) results for a relaxed structure of RbHg2F4.

Results
**ΔE_f (raw)**: -11.392 eV per formula unit
**Final energy**: -0.1074 hartree per atom
**Distance to the lowest polymorph of the same formula**: 83 meV per atom

The structure in extended XYZ format:
```
14
Lattice="-2.119 2.836 -5.859 -6.457 -0.139 2.268 5.023 4.231 4.230" Properties=species:S:1:pos:R:3 pbc="T T T"
Hg -3.208 4.823 1.495
Hg -2.148 3.405 4.425
F -2.720 2.932 0.118
F -6.154 1.304 0.572
F -0.664 3.011 2.723
F 1.561 3.798 0.248
F -1.518 5.988 0.474
F 2.826 3.939 3.858
Hg -4.659 1.290 2.310
F -2.261 2.623 -3.626
Hg -1.431 1.360 1.176
Rb -0.692 4.207 -1.712
Rb -4.288 1.348 -1.796
F -5.285 4.112 -1.812
```

No. 4
DFT (PBE) results for a relaxed structure of ErW3N6.

Results
**ΔE_f (raw)**: -5.549 eV per formula unit
**Final energy**: -0.3635 hartree per atom

The structure in extended XYZ format:
```
20
Lattice="3.025 -0.009 0.012 -0.034 8.463 -2.004 0.036 -0.650 8.704" Properties=species:S:1:pos:R:3 pbc="T T T"
N 0.762 3.966 6.321
N 2.242 0.473 3.245
Er 0.789 1.973 7.626
Er 2.238 5.831 -0.913
W 0.736 3.860 1.838
N 0.742 1.895 1.322
N 2.261 4.862 2.926
W 2.358 6.928 2.081
W 0.818 7.271 5.403
N 2.285 5.908 5.390
W 2.291 3.943 4.874
N 0.702 7.635 -1.157
N 0.766 2.941 3.786
W 0.670 0.875 4.631
W 2.210 0.533 1.309
N 0.765 6.049 0.988
N 2.265 3.838 0.392
N 2.263 1.755 5.725
N 0.786 7.330 3.467
N 2.325 0.168 7.869
```

No. 5
DFT (PBE) results for a relaxed structure of Na2AlBiSe4.

Results
**ΔE_f (raw)**: -6.485 eV per formula unit
**Final energy**: -0.1410 hartree per atom

The structure in extended XYZ format:
```
16
Lattice="6.381 0.000 0.000 0.000 8.256 0.000 0.000 0.000 9.410" Properties=species:S:1:pos:R:3 pbc="T T T"
Se 2.442 1.230 0.000
Na 6.073 5.495 2.319
Al 3.204 6.915 4.705
Se 5.856 2.575 1.991
Bi 3.023 6.862 0.000
Se 2.666 5.682 2.714
Na 6.073 5.495 7.091
Se 5.632 7.027 4.705
Na 2.883 2.761 2.386
Al 0.014 1.342 0.000
Se 2.666 5.682 6.696
Se 5.856 2.575 7.419
Bi 6.213 1.394 4.705
Se 2.568 1.015 4.705
Na 2.883 2.761 7.024
Se 5.759 7.241 0.000
```

No. 6
DFT (PBE) results for a relaxed structure of BaBi4Rh2.

Results
**Final energy**: -0.1820 hartree per atom
**Formation enthalpy at 0 K**: -359.9 meV/atom

The structure in extended XYZ format:
```
28
Lattice="-2.240 -3.908 1.362 3.664 -4.054 -5.608 15.109 -4.170 12.885" Properties=species:S:1:pos:R:3 pbc="T T T"
Bi 4.318 -5.520 3.459
Rh 14.966 -8.267 4.961
Ba 8.483 -6.490 -0.606
Rh 2.721 -4.176 -3.442
Bi 8.772 -7.377 5.454
Bi 5.075 -4.987 -1.899
Rh 10.858 -7.874 7.460
Bi 5.423 -7.057 0.864
Rh 5.674 -4.258 1.179
Rh 1.566 -3.866 3.678
Ba 8.049 -5.642 9.244
Bi 13.258 -9.453 6.877
Bi 1.161 -2.553 -1.350
Bi 3.274 -2.680 1.761
Bi 8.635 -8.400 2.294
Bi 7.761 -4.755 3.185
Bi 7.897 -3.732 6.345
Bi 12.214 -6.612 5.180
Bi 11.457 -7.145 10.537
Rh 6.283 -5.900 5.598
Ba 2.264 -5.515 0.094
Bi 11.109 -5.075 7.775
Ba 14.268 -6.617 8.545
Rh 13.811 -7.957 12.080
Rh 10.249 -6.232 3.040
Bi 13.579 -4.919 12.284
Bi 2.953 -7.213 -3.645
Bi 15.371 -9.580 9.989
```

No. 7
DFT (PBE) results for a relaxed structure of RbNaCN2.

Results
**ΔE_f (raw)**: -2.039 eV per formula unit
**Final energy**: -0.2220 hartree per atom

The structure in extended XYZ format:
```
10
Lattice="-0.787 -3.879 1.754 3.514 1.459 4.804 -6.422 2.226 2.040" Properties=species:S:1:pos:R:3 pbc="T T T"
C -3.211 1.113 1.020
Na -1.971 -1.244 1.324
Na -5.238 -0.409 2.470
N 0.350 -0.412 1.125
N -3.371 -1.814 3.283
C 0.000 0.000 0.000
N -4.046 0.218 7.473
N -0.324 1.620 5.316
Rb -0.451 -1.681 4.254
Rb -3.245 1.487 4.345
```

No. 8
DFT (PBE) results for a relaxed structure of BeInCl.

Results
**ΔE_f (raw)**: -0.459 eV per formula unit
**Final energy**: -0.1074 hartree per atom
**Distance to the lowest polymorph of the same formula**: 39 meV per atom

The structure in extended XYZ format:
```
3
Lattice="8.689 -0.021 0.012 7.570 3.266 -0.139 1.119 -1.776 2.770" Properties=species:S:1:pos:R:3 pbc="T T T"
Cl 7.134 0.218 1.620
In 10.547 1.350 0.967
Be 15.958 3.145 -0.069
```

No. 9
DFT (PBE) results for a relaxed structure of Zn5Cu2PtAu2.

Results
**Final energy**: -0.1055 hartree per atom
**Formation enthalpy at 0 K**: -154.5 meV/atom

The structure in extended XYZ format:
```
20
Lattice="-1.904 1.825 -2.605 -2.010 -7.866 -4.041 -7.517 -0.663 5.030" Properties=species:S:1:pos:R:3 pbc="T T T"
Zn -4.111 -2.470 -1.363
Au -2.840 -1.534 1.001
Au -2.595 -5.357 -1.855
Zn -4.710 0.581 1.212
Pt 0.000 0.000 0.000
Zn -4.179 -6.321 -4.010
Zn -7.252 -0.383 2.394
Zn -5.369 -4.764 -2.051
Au -6.932 -3.172 2.844
Cu -4.963 -1.409 2.640
Cu -4.565 -7.120 -1.651
Zn -9.378 -6.076 -0.040
Zn -2.053 -0.628 -1.576
Zn -6.062 -1.940 0.435
Cu -7.827 -5.506 1.863
Zn -7.320 -4.234 -0.253
Zn -1.957 -3.021 -3.323
Cu -1.701 -3.023 -0.874
Pt -4.764 -4.264 0.494
Au -6.688 -6.995 -0.012
```

No. 10
DFT (PBE) results for a relaxed structure of Tb6Te2C3.

Results
**ΔE_f (raw)**: -7.888 eV per formula unit
**Final energy**: -0.2326 hartree per atom

The structure in extended XYZ format:
```
11
Lattice="-5.857 -0.363 -2.774 -4.161 -4.656 1.800 -4.646 4.226 4.138" Properties=species:S:1:pos:R:3 pbc="T T T"
Te -6.077 -1.064 2.815
Tb -2.406 0.660 -0.004
C -6.669 -3.308 -0.676
Tb -5.804 -1.012 -0.308
C -3.350 -1.710 -0.298
Te -8.588 0.271 0.348
Tb -9.133 -2.647 -0.660
Tb -8.097 3.204 1.367
C 0.000 0.000 0.000
Tb -8.860 0.220 3.471
Tb -5.531 1.854 3.823
```

No. 11
DFT (PBE) results for a relaxed structure of TaCuAg2.

Results
**Final energy**: -0.1775 hartree per atom
**Formation enthalpy at 0 K**: 584.2 meV/atom
**Distance to the lowest polymorph of the same formula**: 418 meV per atom

The structure in extended XYZ format:
```
4
Lattice="4.610 0.000 0.000 0.000 3.823 0.000 0.000 0.000 3.823" Properties=species:S:1:pos:R:3 pbc="T T T"
Ag 0.000 0.000 0.000
Ta 2.305 0.000 1.912
Cu 2.305 1.912 0.000
Ag 0.000 1.912 1.912
```

No. 12
DFT (PBE) results for a relaxed structure of Sr2Li3Al12Zn.

Results
**Final energy**: -0.1110 hartree per atom
**Formation enthalpy at 0 K**: 51.1 meV/atom

The structure in extended XYZ format:
```
18
Lattice="-1.314 -6.903 7.891 -5.288 -8.730 2.733 1.320 -10.161 2.582" Properties=species:S:1:pos:R:3 pbc="T T T"
Al -3.459 -6.797 2.454
Li 0.660 -5.080 1.291
Zn 0.000 0.000 0.000
Al -4.170 -20.076 7.705
Al -1.823 -18.997 10.751
Al -0.994 -11.598 6.623
Al -2.720 -13.475 8.618
Sr -1.855 -9.060 4.638
Sr -3.427 -16.734 8.567
Al -4.288 -14.196 6.582
Li -0.657 -3.452 3.945
Al -1.681 -14.760 6.522
Al -2.562 -12.319 4.588
Al -5.726 -18.152 10.840
Al 0.443 -7.642 2.365
Al -3.602 -11.034 6.683
Al -1.112 -5.718 5.500
Li -2.644 -4.365 1.366
```

The lowest final energy belongs to which entry? ErW3N6

Which value of final energy does entry 1 give? -0.1426 hartree per atom

final energy of number 6 (BaBi4Rh2)? -0.1820 hartree per atom

What is the final energy in the first record? -0.1426 hartree per atom